No. 1
CaLaSn3 | Alexandria | PBE-GGA | relaxed; energy of formation = 0.24 eV/atom; magnetic moment = 0.0 μB/f.u.; symmetry = Pm-3m; E_tot = -3.54 eV/atom
1.0
5.928 0.000 0.000
0.000 5.928 0.000
0.000 0.000 5.928
Sn La Ca
3 1 1
Direct
0.500 0.000 0.000
0.000 0.000 0.500
0.000 0.500 0.000
0.000 0.000 0.000
0.500 0.500 0.500



No. 2
Ba5Sb5As2 | Alexandria | PBE-GGA | relaxed; magnetic moment = 0.0 μB/f.u.; symmetry = C2/m; E_tot = -4.11 eV/atom
1.0
4.707 0.000 1.062
2.248 8.964 0.999
0.116 0.023 10.449
Ba Sb As
5 5 2
Direct
0.302 0.313 0.083
0.000 0.500 0.500
0.379 0.932 0.310
0.698 0.687 0.917
0.621 0.068 0.690
0.291 0.775 0.643
0.000 0.000 0.000
0.709 0.225 0.357
0.062 0.701 0.175
0.938 0.299 0.825
0.378 0.490 0.754
0.622 0.510 0.246



Number 2 is which compound? Ba5Sb5As2



What did the second record say?
Ba5Sb5As2 | Alexandria | PBE-GGA | relaxed; magnetic moment = 0.0 μB/f.u.; symmetry = C2/m; E_tot = -4.11 eV/atom
1.0
4.707 0.000 1.062
2.248 8.964 0.999
0.116 0.023 10.449
Ba Sb As
5 5 2
Direct
0.302 0.313 0.083
0.000 0.500 0.500
0.379 0.932 0.310
0.698 0.687 0.917
0.621 0.068 0.690
0.291 0.775 0.643
0.000 0.000 0.000
0.709 0.225 0.357
0.062 0.701 0.175
0.938 0.299 0.825
0.378 0.490 0.754
0.622 0.510 0.246



Which formula does entry 2 have? Ba5Sb5As2